# YCr2Br

Crystalline YCr2Br at its relaxed geometry (PBE, the Alexandria database).

Computed properties:
**Formation energy without anion corrections**: 639 meV/atom
**Space group**: F-43m
**V**: 91.56 Å³ per cell
**Distance to the lowest polymorph of the same formula**: 620 meV per atom
**Total magnetization**: 2.33 μB/atom

Cell: 5.0591 5.0591 5.0591 Å, 60.00 60.00 60.00°
Last column: nearest neighbours and their distance in Å.
Fractional coordinates of all 4 atoms:
Cr (0.0000, 0.0000, 0.0000)  4 Cr 3.10, 4 Y 3.10
Cr (0.2500, 0.2500, 0.2500)  4 Cr 3.10, 4 Br 3.10
Br (0.5000, 0.5000, 0.5000)  4 Cr 3.10, 4 Y 3.10
Y (0.7500, 0.7500, 0.7500)  4 Br 3.10, 4 Cr 3.10

# MgScBr2

Crystalline MgScBr2 at its relaxed geometry (PBE, the Alexandria database).

Computed properties:
**Formation energy without anion corrections**: -762 meV/atom
**Space group**: Imm2
**V**: 109.77 Å³ per cell
**Distance to the lowest polymorph of the same formula**: 220 meV per atom
**Total magnetization**: 0.00 μB/atom

Cell: 7.4738 7.4738 7.4738 Å, 153.97 143.07 45.74°
Last column: nearest neighbours and their distance in Å.
Fractional coordinates of all 4 atoms:
Sc (0.7682, 0.2682, 0.5000)  6 Br 2.79-2.95
Br (0.2306, 0.7306, 0.5000)  4 Sc 2.95, 2 Mg 3.23
Br (0.9302, 0.9302, 0.0000)  2 Sc 2.79
Mg (0.5710, 0.5710, 0.0000)  2 Sc 3.20, 6 Br 3.23-3.49, 2 Mg 3.37

# SnH2Rh

Crystalline SnH2Rh at its relaxed geometry (PBE, the Alexandria database).

Computed properties:
**Space group**: I4mm
**V**: 47.26 Å³ per cell
**Distance to the lowest polymorph of the same formula**: 0 meV per atom
**Total magnetization**: 0.00 μB/atom

Cell: 3.2914 3.2913 4.9413 Å, 109.39 109.39 90.05°
Last column: nearest neighbours and their distance in Å.
Fractional coordinates of all 4 atoms:
Rh (0.6138, 0.1138, 0.2282)  4 H 1.76
Sn (0.3016, 0.8016, 0.6021)  8 H 2.67-2.80, 5 Rh 2.73-2.85
H (0.0425, 0.0422, 0.0848)  2 Rh 1.76
H (0.5422, 0.5424, 0.0848)  2 Rh 1.76

# BaAl2Cd6

Crystalline BaAl2Cd6 at its relaxed geometry (PBE, the Alexandria database).

Computed properties:
**Energy of formation**: -121 meV per atom
**Space group**: P4/mmm
**V**: 218.37 Å³ per cell
**Total magnetization**: 0.00 μB/atom

Cell: 4.6515 4.6515 10.0923 Å, 90.00 90.00 90.00°
Last column: nearest neighbours and their distance in Å.
Fractional coordinates of all 9 atoms:
Cd (0.5000, 0.0000, 0.7120)  2 Al 2.81
Cd (0.5000, 0.0000, 0.2880)  2 Al 2.81
Cd (0.0000, 0.5000, 0.7120)  2 Al 2.81
Cd (0.0000, 0.5000, 0.2880)  2 Al 2.81
Cd (0.5000, 0.5000, 0.5000)  12 Cd 3.16-3.29
Cd (0.0000, 0.0000, 0.5000)  12 Cd 3.16-3.29
Al (0.5000, 0.5000, 0.8680)  1 Al 2.67, 4 Cd 2.81
Al (0.5000, 0.5000, 0.1320)  1 Al 2.67, 4 Cd 2.81
Ba (0.0000, 0.0000, 0.0000)  8 Al 3.55, 8 Cd 3.72

# MnTeRu2

Crystalline MnTeRu2 at its relaxed geometry (PBE, the Alexandria database).

Computed properties:
**Formation energy without anion corrections**: 465 meV/atom
**Space group**: F-43m
**V**: 63.02 Å³ per cell
**Total magnetization**: 0.97 μB/atom

Cell: 4.4668 4.4668 4.4668 Å, 60.00 60.00 60.00°
Last column: nearest neighbours and their distance in Å.
Fractional coordinates of all 4 atoms:
Ru (0.2500, 0.2500, 0.2500)  4 Mn 2.74, 4 Ru 2.74
Ru (0.0000, 0.0000, 0.0000)  4 Ru 2.74, 4 Te 2.74
Te (0.7500, 0.7500, 0.7500)  4 Mn 2.74, 4 Ru 2.74
Mn (0.5000, 0.5000, 0.5000)  4 Te 2.74, 4 Ru 2.74

# PmEuPd4

Crystalline PmEuPd4 at its relaxed geometry (PBE, the Alexandria database).

Computed properties:
**Energy of formation**: -736 meV per atom
**Space group**: F-43m
**V**: 118.91 Å³ per cell
**Total magnetization**: 1.17 μB/atom

Cell: 5.5196 5.5196 5.5196 Å, 60.00 60.00 60.00°
Last column: nearest neighbours and their distance in Å.
Fractional coordinates of all 6 atoms:
Pd (0.1251, 0.6250, 0.6250)  6 Pd 2.76
Pd (0.6250, 0.6250, 0.1251)  6 Pd 2.76
Pd (0.6250, 0.6250, 0.6250)  6 Pd 2.76
Pd (0.6250, 0.1251, 0.6250)  6 Pd 2.76
Pm (0.0000, 0.0000, 0.0000)  12 Pd 3.24, 4 Eu 3.38
Eu (0.2500, 0.2500, 0.2500)  12 Pd 3.24, 4 Pm 3.38